# 1
La2PtPb after structural relaxation, computed with GGA-PBE.

The structure in POSCAR format:
```
La2PtPb
1.0
3.796 0.000 0.000
0.000 4.933 0.000
0.000 0.000 12.301
La Pt Pb
4 2 2
direct
0.000 0.000 0.000
0.000 0.500 0.206
0.500 0.000 0.706
0.500 0.500 0.500
0.000 0.000 0.504
0.500 0.500 0.004
0.000 0.500 0.806
0.500 0.000 0.306
```

Calculated values
* energy of formation: -759 meV per atom
* SG: No. 44

---

# 2
CaGa4Pd8 after structural relaxation, computed with GGA-PBE.

The structure in POSCAR format:
```
CaGa4Pd8
1.0
-4.437 4.437 2.683
4.437 -4.437 2.683
4.437 4.437 -2.683
Ca Ga Pd
1 4 8
direct
0.000 0.000 0.000
0.000 0.000 0.500
0.000 0.500 0.000
0.500 0.000 0.000
0.500 0.500 0.500
0.000 0.339 0.339
0.000 0.661 0.661
0.277 0.500 0.777
0.339 0.000 0.339
0.500 0.277 0.777
0.500 0.723 0.223
0.661 0.000 0.661
0.723 0.500 0.223
```

Calculated values
* energy of formation: -618 meV per atom
* SG: No. 139

---

# 3
AcPrSb2 after structural relaxation, computed with GGA-PBE.

The structure in POSCAR format:
```
AcPrSb2
1.0
8.029 0.000 0.000
0.000 8.029 0.000
0.000 0.000 8.029
Ac Pr Sb
4 4 8
direct
0.000 0.000 0.000
0.000 0.500 0.500
0.500 0.000 0.500
0.500 0.500 0.000
0.000 0.000 0.500
0.000 0.500 0.000
0.500 0.000 0.000
0.500 0.500 0.500
0.250 0.250 0.250
0.250 0.250 0.750
0.250 0.750 0.250
0.250 0.750 0.750
0.750 0.250 0.250
0.750 0.250 0.750
0.750 0.750 0.250
0.750 0.750 0.750
```

Calculated values
* energy above the lowest structure with this stoichiometry: 1.13 eV/f.u.
* SG: No. 225

---

# 4
AcZrP3 after structural relaxation, computed with GGA-PBE.

The structure in POSCAR format:
```
AcZrP3
1.0
5.013 0.000 0.000
0.000 5.013 0.000
0.000 0.000 5.013
Ac Zr P
1 1 3
direct
0.000 0.000 0.000
0.500 0.500 0.500
0.000 0.500 0.500
0.500 0.000 0.500
0.500 0.500 0.000
```

Calculated values
* energy of formation: -693 meV per atom
* SG: No. 221

---

# 5
SrAc2Hg5 after structural relaxation, computed with GGA-PBE.

The structure in POSCAR format:
```
SrAc2Hg5
1.0
5.637 0.000 0.000
0.000 5.637 0.000
0.000 0.000 15.543
Sr Ac Hg
2 4 10
direct
0.000 0.000 0.000
0.500 0.500 0.500
0.000 0.000 0.269
0.000 0.000 0.731
0.500 0.500 0.231
0.500 0.500 0.769
0.000 0.000 0.500
0.000 0.500 0.121
0.000 0.500 0.379
0.000 0.500 0.621
0.000 0.500 0.879
0.500 0.000 0.121
0.500 0.000 0.379
0.500 0.000 0.621
0.500 0.000 0.879
0.500 0.500 0.000
```

Calculated values
* energy of formation: -421 meV per atom
* SG: No. 139

---

# 6
LiAgAu2 after structural relaxation, computed with GGA-PBE.

The structure in POSCAR format:
```
LiAgAu2
1.0
9.497 0.000 0.000
0.000 2.903 0.000
-0.880 0.000 4.965
Li Ag Au
2 2 4
direct
0.000 0.000 0.000
0.500 0.500 0.000
0.000 0.500 0.500
0.500 0.000 0.500
0.247 0.500 0.244
0.253 0.000 0.756
0.747 0.000 0.244
0.753 0.500 0.756
```

Calculated values
* energy of formation: -241 meV per atom
* energy above the lowest structure with this stoichiometry: 0.28 eV/f.u.
* SG: No. 12

---

Total magnetic moment across the listed records, respectively: 0.000, 0.000, 0.000, 0.000, 0.000, 0.000 μB/atom.